1.
## SrIr2Rh (GGA-PBE)

Data for a relaxed structure of SrIr2Rh.

Its space-group type is P4/mmm (123). The energy of formation comes out at 36.1 kJ/mol of atoms. Its energy above the most stable polymorph in this dataset is 184 meV/atom.

POSCAR file:
```
SrIr2Rh
1.0
4.337 0.000 0.000
0.000 4.039 0.000
0.000 0.000 4.039
Sr Ir Rh
1 2 1
Direct
0.500 0.000 0.500
0.000 0.500 0.500
0.000 0.000 0.000
0.500 0.500 0.000
```



2.
## Dy2Ni2Au (GGA-PBE)

Data for a relaxed structure of Dy2Ni2Au.

Its space-group type is Cmmm (65). The energy of formation comes out at -59.9 kJ/mol of atoms. Its energy above the most stable polymorph in this dataset is 0 meV/atom.

POSCAR file:
```
Dy2Ni2Au
1.0
3.613 0.000 0.000
0.000 3.738 -1.063
0.000 0.007 7.130
Au Dy Ni
1 2 2
Direct
0.000 0.000 0.000
0.500 0.369 0.738
0.500 0.631 0.262
0.000 0.198 0.397
0.000 0.802 0.603
```



3.
## SrPdSeN2 (GGA-PBE)

Data for a relaxed structure of SrPdSeN2.

As for the energy relative to the elements, uncorrected: 1.652 eV per atom. Its space-group type is P4/mmm (123). Its energy above the most stable polymorph in this dataset is 1159 meV/atom.

POSCAR file:
```
SrPdSeN2
1.0
-2.027 -0.752 -4.196
-3.944 -1.433 2.162
-2.126 5.825 -0.017
N Sr Pd Se
2 1 1 1
Direct
0.000 0.500 0.000
0.500 0.000 0.000
0.000 0.000 0.000
0.500 0.500 0.500
0.000 0.000 0.500
```



4.
## MnBiIr2Se (GGA-PBE)

Data for a relaxed structure of MnBiIr2Se.

As for the energy relative to the elements, uncorrected: 1.746 eV per atom. Its space-group type is P4/mmm (123).

POSCAR file:
```
MnBiIr2Se
1.0
-0.572 -0.302 4.942
3.027 -4.591 0.070
4.122 2.728 0.644
Ir Se Bi Mn
2 1 1 1
Direct
0.500 0.000 0.000
0.000 0.000 0.500
0.000 0.500 0.000
0.000 0.000 0.000
0.500 0.500 0.500
```



5.
## Pm12BeGe7 (GGA-PBE)

Data for a relaxed structure of Pm12BeGe7.

Its space-group type is R-3 (148). The energy of formation comes out at -41.4 kJ/mol of atoms.

POSCAR file:
```
Pm12BeGe7
1.0
-0.035 9.014 0.006
-7.664 -3.022 -3.660
0.657 -2.997 8.476
Ge Pm Be
7 12 1
Direct
0.061 0.741 0.972
0.741 0.972 0.061
0.259 0.028 0.939
0.500 0.500 0.500
0.939 0.259 0.028
0.972 0.061 0.741
0.028 0.939 0.259
0.681 0.596 0.902
0.098 0.319 0.404
0.656 0.272 0.129
0.344 0.728 0.871
0.728 0.871 0.344
0.272 0.129 0.656
0.596 0.902 0.681
0.902 0.681 0.596
0.129 0.656 0.272
0.871 0.344 0.728
0.319 0.404 0.098
0.404 0.098 0.319
0.000 0.000 0.000
```



6.
## Ti2TlCdW (GGA-PBE)

Data for a relaxed structure of Ti2TlCdW.

Its space-group type is P4/mmm (123). The energy of formation comes out at 84.0 kJ/mol of atoms. Its energy above the most stable polymorph in this dataset is 0 meV/atom.

POSCAR file:
```
Ti2TlCdW
1.0
4.766 0.000 0.000
0.000 5.444 0.000
0.000 0.000 4.766
Ti W Tl Cd
2 1 1 1
Direct
0.000 0.000 0.500
0.500 0.000 0.000
0.000 0.000 0.000
0.500 0.500 0.500
0.000 0.500 0.000
```



7.
## RbLiGaAs2 (GGA-PBE)

Data for a relaxed structure of RbLiGaAs2.

Its space-group type is C2/m (12). The energy of formation comes out at -41.2 kJ/mol of atoms.

POSCAR file:
```
RbLiGaAs2
1.0
-2.217 2.352 -2.192
-6.297 -3.250 -0.598
-5.149 4.956 7.045
Li As Ga Rb
2 4 2 2
Direct
0.650 0.611 0.089
0.350 0.389 0.911
0.462 0.758 0.317
0.150 0.768 0.932
0.538 0.242 0.683
0.850 0.232 0.068
0.025 0.124 0.826
0.975 0.876 0.174
0.176 0.278 0.370
0.824 0.722 0.630
```



8.
## Cs2HgAuBr6 (GGA-PBE)

Data for a relaxed structure of Cs2HgAuBr6.

As for the energy relative to the elements, uncorrected: -0.914 eV per atom. Its space-group type is I4/mmm (139).

POSCAR file:
```
Cs2HgAuBr6
1.0
-7.338 -3.236 -0.505
0.868 -0.727 -7.956
-0.961 -7.254 -3.500
Cs Br Hg Au
2 6 1 1
Direct
0.750 0.250 0.500
0.250 0.750 0.500
0.221 0.221 0.558
0.779 0.779 0.442
0.272 0.728 0.000
0.728 0.272 0.000
0.728 0.728 0.000
0.272 0.272 0.000
0.000 0.000 0.000
0.500 0.500 0.000
```



9.
## Rb3AsSe (GGA-PBE)

Data for a relaxed structure of Rb3AsSe.

As for the energy relative to the elements, uncorrected: -0.325 eV per atom. Its space-group type is Pm-3m (221). Its energy above the most stable polymorph in this dataset is 340 meV/atom.

POSCAR file:
```
Rb3AsSe
1.0
6.538 0.000 0.000
0.000 6.538 0.000
0.000 0.000 6.538
As Se Rb
1 1 3
Direct
0.500 0.500 0.500
0.000 0.000 0.000
0.500 0.000 0.000
0.000 0.500 0.000
0.000 0.000 0.500
```



10.
## Tb2ThBi (GGA-PBE)

Data for a relaxed structure of Tb2ThBi.

Its space-group type is Cm (8). The energy of formation comes out at -15.3 kJ/mol of atoms. Its energy above the most stable polymorph in this dataset is 204 meV/atom.

POSCAR file:
```
Tb2ThBi
1.0
3.627 -0.001 0.009
1.813 3.141 0.009
1.840 1.062 10.966
Th Tb Bi
1 2 1
Direct
0.501 0.501 0.501
0.255 0.255 0.238
0.077 0.077 0.762
0.667 0.667 0.000
```



11.
## ReSe2Br (GGA-PBE)

Data for a relaxed structure of ReSe2Br.

As for the energy relative to the elements, uncorrected: -0.009 eV per atom. Its space-group type is Pnna (52). Its energy above the most stable polymorph in this dataset is 0 meV/atom.

POSCAR file:
```
ReSe2Br
1.0
5.180 0.000 0.000
0.000 6.512 -0.003
0.000 0.006 11.764
Se Br Re
8 4 4
Direct
0.736 0.442 0.447
0.236 0.058 0.053
0.736 0.942 0.553
0.764 0.442 0.053
0.264 0.558 0.553
0.264 0.058 0.447
0.764 0.942 0.947
0.236 0.558 0.947
0.750 0.929 0.250
0.250 0.571 0.250
0.750 0.429 0.750
0.250 0.071 0.750
0.000 0.250 0.585
0.500 0.750 0.085
0.500 0.250 0.915
0.000 0.750 0.415
```



12.
## ZrC3 (GGA-PBE)

Data for a relaxed structure of ZrC3.

Its space-group type is P-6m2 (187). The energy of formation comes out at 126.7 kJ/mol of atoms. Its energy above the most stable polymorph in this dataset is 1052 meV/atom.

POSCAR file:
```
ZrC3
1.0
-0.823 -0.153 -3.167
-2.111 -1.011 2.292
-1.736 4.191 0.249
C Zr
3 1
Direct
0.667 0.333 0.250
0.000 0.000 0.088
0.000 0.000 0.412
0.667 0.333 0.750
```



13.
## BaNpNiS4 (GGA-PBE)

Data for a relaxed structure of BaNpNiS4.

As for the energy relative to the elements, uncorrected: -1.247 eV per atom. Its space-group type is P2_1/m (11).

POSCAR file:
```
BaNpNiS4
1.0
6.479 0.000 0.011
0.000 5.849 0.000
-2.532 0.000 8.197
Ni Ba S Np
2 2 8 2
Direct
0.228 0.750 0.334
0.772 0.250 0.666
0.259 0.250 0.061
0.741 0.750 0.939
0.430 0.750 0.586
0.432 0.750 0.160
0.980 0.486 0.285
0.020 0.986 0.715
0.980 0.014 0.285
0.020 0.514 0.715
0.568 0.250 0.840
0.570 0.250 0.414
0.253 0.250 0.556
0.747 0.750 0.444
```



14.
## Tb13Dy3 (GGA-PBE)

Data for a relaxed structure of Tb13Dy3.

Its space-group type is Amm2 (38). The energy of formation comes out at 1.3 kJ/mol of atoms.

POSCAR file:
```
Tb13Dy3
1.0
-2.766 -5.905 2.828
3.528 -3.931 -4.756
7.782 -0.631 6.294
Tb Dy
13 3
Direct
0.000 0.500 0.250
0.500 0.000 0.750
0.500 0.500 0.250
0.250 0.750 0.500
0.750 0.750 0.000
0.750 0.750 0.500
0.500 0.000 0.250
0.500 0.500 0.750
0.750 0.250 0.500
0.000 0.500 0.750
0.250 0.250 0.000
0.250 0.750 0.000
0.250 0.250 0.500
0.000 0.000 0.750
0.750 0.250 0.000
0.000 0.000 0.250
```



15.
## K4LiTl (GGA-PBE)

Data for a relaxed structure of K4LiTl.

Its space-group type is F-43m (216). The energy of formation comes out at 24.2 kJ/mol of atoms.

POSCAR file:
```
K4LiTl
1.0
1.198 -7.384 1.718
-5.645 -5.118 -0.918
0.431 -5.224 -5.607
Li K Tl
1 4 1
Direct
0.750 0.750 0.750
0.375 0.375 0.375
0.876 0.375 0.375
0.375 0.876 0.375
0.375 0.375 0.876
0.000 0.000 0.000
```



16.
## Zr2NiMo (GGA-PBE)

Data for a relaxed structure of Zr2NiMo.

Its space-group type is Imm2 (44). The energy of formation comes out at -2.6 kJ/mol of atoms.

POSCAR file:
```
Zr2NiMo
1.0
-0.697 4.122 -3.471
-4.655 2.780 0.351
4.373 -1.566 2.820
Mo Zr Ni
1 2 1
Direct
0.488 0.488 0.000
0.011 0.011 0.000
0.739 0.239 0.500
0.262 0.762 0.500
```



17.
## Tb4NiPt (GGA-PBE)

Data for a relaxed structure of Tb4NiPt.

Its space-group type is C2/c (15). The energy of formation comes out at -49.7 kJ/mol of atoms.

POSCAR file:
```
Tb4NiPt
1.0
-2.812 -4.555 4.358
-0.930 -3.592 -5.702
8.043 1.095 1.542
Tb Ni Pt
8 2 2
Direct
0.226 0.970 0.457
0.053 0.726 0.955
0.598 0.771 0.045
0.731 0.487 0.457
0.774 0.030 0.543
0.269 0.513 0.543
0.947 0.274 0.045
0.402 0.229 0.955
0.100 0.850 0.700
0.900 0.150 0.300
0.628 0.378 0.756
0.372 0.622 0.244
```



18.
## CePuCdSn (GGA-PBE)

Data for a relaxed structure of CePuCdSn.

Its space-group type is F-43m (216). The energy of formation comes out at -25.4 kJ/mol of atoms. Its energy above the most stable polymorph in this dataset is 0 meV/atom.

POSCAR file:
```
CePuCdSn
1.0
-2.767 2.810 3.689
0.048 -1.553 5.171
2.631 2.948 3.680
Sn Pu Ce Cd
1 1 1 1
Direct
0.750 0.750 0.750
0.500 0.500 0.500
0.000 0.000 0.000
0.250 0.250 0.250
```



19.
## Ce3U2PaN6 (GGA-PBE)

Data for a relaxed structure of Ce3U2PaN6.

As for the energy relative to the elements, uncorrected: -1.493 eV per atom. Its space-group type is C2/m (12).

POSCAR file:
```
Ce3U2PaN6
1.0
6.081 -0.001 0.001
-3.039 5.266 0.001
-1.014 -1.756 5.731
U Ce N Pa
2 3 6 1
Direct
0.333 0.667 0.000
0.667 0.333 0.000
0.834 0.166 0.500
0.500 0.500 0.500
0.166 0.834 0.500
0.266 0.266 0.780
0.587 0.926 0.778
0.734 0.734 0.220
0.413 0.074 0.222
0.926 0.587 0.778
0.074 0.413 0.222
0.000 0.000 0.000
```



20.
## HfAlTe2I (GGA-PBE)

Data for a relaxed structure of HfAlTe2I.

As for the energy relative to the elements, uncorrected: -0.115 eV per atom. Its space-group type is P4/mmm (123). Its energy above the most stable polymorph in this dataset is 0 meV/atom.

POSCAR file:
```
HfAlTe2I
1.0
-4.570 2.966 -1.281
-1.616 -4.019 -3.544
-2.867 -2.587 4.241
Te I Hf Al
2 1 1 1
Direct
0.500 0.000 0.000
0.000 0.500 0.000
0.000 0.000 0.500
0.000 0.000 0.000
0.500 0.500 0.500
```